Os2BrCl8: relaxed, PBE.

Geometry as POSCAR:
```
Os2BrCl8
1.0
8.7270 -5.3738 0.0000
8.7270 5.3738 0.0000
-1.3022 0.0000 4.6088
Os Br Cl
2 1 8
Direct
0.1590 0.1590 0.1576
0.8410 0.8410 0.8424
0.0000 0.0000 0.0000
0.0575 0.6350 0.8476
0.1350 0.1350 0.6337
0.2924 0.2924 0.2893
0.3650 0.9425 0.1524
0.6350 0.0575 0.8476
0.7076 0.7076 0.7107
0.8650 0.8650 0.3663
0.9425 0.3650 0.1524
```

- Space group: C2/m
- Calculated total energy: -3.7347 eV/atom
- Magnetization: 5.6 μB/f.u.